This record from the Alexandria database describes a relaxed structure of Sc3Al12Pd. The functional is GGA-PBE.

```
Sc3Al12Pd
1.0
4.0643 0.0000 0.0000
0.0000 4.0643 0.0000
0.0000 0.0000 16.3032
Sc Al Pd
3 12 1
Direct
0.0000 0.0000 0.0000
0.0000 0.0000 0.2529
0.0000 0.0000 0.7471
0.0000 0.5000 0.1271
0.0000 0.5000 0.3835
0.0000 0.5000 0.6165
0.0000 0.5000 0.8729
0.5000 0.0000 0.1271
0.5000 0.0000 0.3835
0.5000 0.0000 0.6165
0.5000 0.0000 0.8729
0.5000 0.5000 0.0000
0.5000 0.5000 0.2544
0.5000 0.5000 0.5000
0.5000 0.5000 0.7456
0.0000 0.0000 0.5000
```

* total energy: -4.74 eV per atom
* energy of formation: -0.4248 eV/atom
* V: 269.3 Å³ per cell
* crystal system: tetragonal
* total moment: 0.00 μB/cell